1.
Here is a relaxed SrSiTc2 crystal from Alexandria. Energies are from PBE.

a b c (Å): 4.6801 4.6801 9.2973
angles (deg): 75.42 75.42 90.00
Atoms (fractional coordinates):
Tc: 0.3281 0.1250 0.2500
Tc: 0.3750 0.6719 0.7500
Tc: 0.4219 0.6250 0.2500
Si: 0.2500 0.7500 0.5000
Tc: 0.8750 0.5781 0.7500
Si: 0.5000 0.5000 0.0000
Sr: 0.7500 0.2500 0.5000
Sr: 0.0000 0.0000 0.0000

## Properties
- M_tot: 0.00 μB/cell
- Space group: I-42d
- ρ: 5.44 Mg/m³
- Crystal system: tetragonal
- Final energy: -6.536 eV/atom


2.
Here is a relaxed La3Nd5Ho3 crystal from Alexandria. Energies are from PBE.

a b c (Å): 3.4599 11.4896 11.4896
angles (deg): 120.00 90.00 90.00
Atoms (fractional coordinates):
Ho: 0.5000 0.1578 0.1578
Nd: 0.5000 0.3359 0.0000
Nd: 0.5000 0.6667 0.3333
La: 0.0000 0.0000 0.5990
Ho: 0.5000 0.8422 0.0000
Nd: 0.5000 0.3333 0.6667
Nd: 0.5000 0.6641 0.6641
La: 0.0000 0.5990 0.0000
La: 0.0000 0.4010 0.4010
Ho: 0.5000 0.0000 0.8422
Nd: 0.5000 0.0000 0.3359

## Properties
- M_tot: 0.00 μB/cell
- ΔE_f: 0.312 eV per atom
- Space group: P-62m
- ρ: 6.85 Mg/m³
- Crystal system: hexagonal
- Final energy: -4.447 eV/atom


3.
Here is a relaxed HoCo2CuH8 crystal from Alexandria. Energies are from PBE.

a b c (Å): 4.5437 4.5437 5.9993
angles (deg): 90.00 90.00 120.00
Atoms (fractional coordinates):
H: 0.7103 0.8551 0.7998
Co: 0.6667 0.3333 0.1616
Cu: 0.0000 0.0000 0.0000
H: 0.1449 0.8551 0.7998
Ho: 0.0000 0.0000 0.5000
H: 0.8551 0.1449 0.2002
Co: 0.3333 0.6667 0.8384
H: 0.8551 0.7103 0.2002
H: 0.2897 0.1449 0.2002
H: 0.1449 0.2897 0.7998
H: 0.6667 0.3333 0.4193
H: 0.3333 0.6667 0.5807

## Properties
- M_tot: 0.00 μB/cell
- Space group: P-3m1
- ρ: 5.49 Mg/m³
- Crystal system: trigonal
- Final energy: -4.060 eV/atom


4.
Here is a relaxed PrLuZn crystal from Alexandria. Energies are from PBE.

a b c (Å): 3.6038 3.6038 6.6848
angles (deg): 105.64 105.64 90.00
Atoms (fractional coordinates):
Lu: 0.3044 0.3044 0.6089
Pr: 0.0161 0.0161 0.0322
Zn: 0.6795 0.6795 0.3589

## Properties
- M_tot: 0.00 μB/cell
- ΔE_f: -0.196 eV per atom
- Space group: I4mm
- ρ: 7.89 Mg/m³
- Energy above the most stable polymorph in this dataset: 0.0 meV per atom
- Crystal system: tetragonal
- Final energy: -3.721 eV/atom


5.
Here is a relaxed SbPbIO2 crystal from Alexandria. Energies are from PBE.

a b c (Å): 4.4122 4.4122 6.2908
angles (deg): 90.00 90.00 90.00
Site moments in Bohr magnetons follow the coordinates.
Atoms (fractional coordinates):
O: 0.0000 0.5000 0.0000  0.10
Sb: 0.5000 0.5000 0.5000  0.33
O: 0.5000 0.0000 0.0000  0.10
Pb: 0.0000 0.0000 0.0000  0.00
I: 0.0000 0.0000 0.5000  0.00

## Properties
- M_tot: 1.03 μB/cell
- Space group: P4/mmm
- ρ: 6.61 Mg/m³
- Crystal system: tetragonal
- Final energy: -3.742 eV/atom


6.
Here is a relaxed Ce2Sm3Sn3 crystal from Alexandria. Energies are from PBE.

a b c (Å): 6.4336 9.3263 9.3263
angles (deg): 120.00 90.00 90.00
Site moments in Bohr magnetons follow the coordinates.
Atoms (fractional coordinates):
Ce: 0.0000 0.6667 0.3333  0.85
Sn: 0.7500 0.6119 0.0000  -0.03
Sn: 0.2500 0.6119 0.6119  -0.03
Sn: 0.7500 0.0000 0.6119  -0.03
Sm: 0.2500 0.0000 0.7526  0.06
Sm: 0.2500 0.2474 0.2474  0.06
Sm: 0.7500 0.7526 0.7526  0.06
Sn: 0.2500 0.3881 0.0000  -0.03
Ce: 0.5000 0.3333 0.6667  0.85
Sm: 0.2500 0.7526 0.0000  0.06
Sn: 0.2500 0.0000 0.3881  -0.03
Ce: 0.0000 0.3333 0.6667  0.85
Sn: 0.7500 0.3881 0.3881  -0.03
Sm: 0.7500 0.2474 0.0000  0.06
Sm: 0.7500 0.0000 0.2474  0.06
Ce: 0.5000 0.6667 0.3333  0.85

## Properties
- M_tot: 5.30 μB/cell
- ΔE_f: -0.634 eV per atom
- Space group: P6_3/mcm
- ρ: 7.45 Mg/m³
- Crystal system: hexagonal
- Final energy: -5.388 eV/atom


7.
Here is a relaxed PmNd2Ho8 crystal from Alexandria. Energies are from PBE.

a b c (Å): 5.5189 8.1035 9.4013
angles (deg): 115.53 107.07 90.00
Atoms (fractional coordinates):
Ho: 0.8393 0.8393 0.6786
Ho: 0.0000 0.2933 0.0000
Pm: 0.5000 0.0000 0.0000
Ho: 0.6380 0.8455 0.2760
Ho: 0.3620 0.5695 0.7240
Ho: 0.6380 0.4305 0.2760
Nd: 0.2004 0.7004 0.4008
Ho: 0.1607 0.1607 0.3214
Nd: 0.7996 0.2996 0.5992
Ho: 0.3620 0.1545 0.7240
Ho: 0.0000 0.7067 0.0000

## Properties
- M_tot: 0.00 μB/cell
- ΔE_f: 0.114 eV per atom
- Space group: Immm
- ρ: 8.11 Mg/m³
- Energy above the most stable polymorph in this dataset: 0.0 meV per atom
- Crystal system: orthorhombic
- Final energy: -4.514 eV/atom


8.
Here is a relaxed TaCu2As crystal from Alexandria. Energies are from PBE.

a b c (Å): 7.0083 7.0083 5.5709
angles (deg): 51.02 51.02 90.00
Atoms (fractional coordinates):
As: 0.5000 0.5000 0.0000
Cu: 0.8750 0.8487 0.7500
Ta: 0.7500 0.2500 0.5000
Cu: 0.5987 0.1250 0.2500
Cu: 0.1513 0.6250 0.2500
Ta: 0.0000 0.0000 0.0000
As: 0.2500 0.7500 0.5000
Cu: 0.3750 0.4013 0.7500

## Properties
- M_tot: 0.00 μB/cell
- ΔE_f: 0.197 eV per atom
- Space group: I-42d
- ρ: 10.17 Mg/m³
- Crystal system: tetragonal
- Final energy: -5.976 eV/atom